No. 1
Computed, not measured: a relaxed structure of CuBiIrW at the PBE level of DFT.

Computed properties:
The calculation puts the total magnetization at 0.008 μB/atom. Its distance to the lowest polymorph of the same formula is 0 meV/atom. Its calculated total energy is -26.99 eV per cell. The theoretical density is 15.6 g cm⁻³. For the calculated volume, the calculation gives 69 Å³/cell.

abc: 4.6012 4.6012 4.6012
angles: 60.00 60.00 60.00
Element x y z (fractional)
Cu 0.0000 0.0000 0.0000
Bi 0.2500 0.2500 0.2500
Ir 0.7500 0.7500 0.7500
W 0.5000 0.5000 0.5000

No. 2
Computed, not measured: a relaxed structure of LiMgAl2Cu4 at the PBE level of DFT.

Computed properties:
Its distance to the lowest polymorph of the same formula is 0 meV/atom. Its calculated total energy is -54.98 eV per cell. The theoretical density is 5.4 g cm⁻³. For the calculated volume, the calculation gives 211 Å³/cell.

abc: 7.3594 7.3594 7.3594
angles: 132.80 132.80 68.97
Element x y z (fractional)
Li 0.3750 0.6250 0.7500
Li 0.6250 0.3750 0.2500
Mg 0.1250 0.8750 0.2500
Mg 0.8750 0.1250 0.7500
Al 0.1210 0.3710 0.7500
Al 0.3710 0.1210 0.2500
Al 0.6290 0.8790 0.7500
Al 0.8790 0.6290 0.2500
Cu 0.0000 0.2664 0.2664
Cu 0.0000 0.7336 0.7336
Cu 0.2664 0.0000 0.7664
Cu 0.2664 0.5000 0.2664
Cu 0.5000 0.2664 0.7664
Cu 0.5000 0.7336 0.2336
Cu 0.7336 0.0000 0.2336
Cu 0.7336 0.5000 0.7336

No. 3
Computed, not measured: a relaxed structure of Cu2AgBiPbS4 at the PBE level of DFT.

Computed properties:
Its calculated total energy is -147.99 eV per cell. The theoretical density is 6.8 g cm⁻³. For the calculated volume, the calculation gives 761 Å³/cell.

abc: 12.7740 4.0278 14.7851
angles: 90.00 90.00 90.00
Element x y z (fractional)
Cu 0.0514 0.2500 0.0310
Cu 0.0522 0.2500 0.8452
Cu 0.4478 0.7500 0.3452
Cu 0.4486 0.7500 0.5310
Cu 0.5514 0.2500 0.4690
Cu 0.5522 0.2500 0.6548
Cu 0.9478 0.7500 0.1548
Cu 0.9486 0.7500 0.9690
Ag 0.1754 0.7500 0.9245
Ag 0.3246 0.2500 0.4245
Ag 0.6754 0.7500 0.5755
Ag 0.8246 0.2500 0.0755
Bi 0.0649 0.7500 0.3927
Bi 0.4351 0.2500 0.8927
Bi 0.5649 0.7500 0.1073
Bi 0.9351 0.2500 0.6073
Pb 0.2145 0.7500 0.6646
Pb 0.2855 0.2500 0.1646
Pb 0.7145 0.7500 0.8354
Pb 0.7855 0.2500 0.3354
S 0.0012 0.2500 0.2789
S 0.1040 0.7500 0.0894
S 0.1291 0.2500 0.5297
S 0.2219 0.2500 0.8123
S 0.2781 0.7500 0.3123
S 0.3709 0.7500 0.0297
S 0.3960 0.2500 0.5894
S 0.4988 0.7500 0.7789
S 0.5012 0.2500 0.2211
S 0.6040 0.7500 0.4106
S 0.6291 0.2500 0.9703
S 0.7219 0.2500 0.6877
S 0.7781 0.7500 0.1877
S 0.8709 0.7500 0.4703
S 0.8960 0.2500 0.9106
S 0.9988 0.7500 0.7211

No. 4
Computed, not measured: a relaxed structure of Dy6Al7Cu16 at the PBE level of DFT.

Computed properties:
The calculation puts the total magnetization at 0.002 μB/atom. Its calculated total energy is -124.13 eV per cell. The theoretical density is 7.8 g cm⁻³. For the calculated volume, the calculation gives 464 Å³/cell.

abc: 8.6912 8.6912 8.6912
angles: 60.00 60.00 60.00
Element x y z (fractional)
Dy 0.2126 0.2126 0.7874
Dy 0.2126 0.7874 0.2126
Dy 0.2126 0.7874 0.7874
Dy 0.7874 0.2126 0.2126
Dy 0.7874 0.2126 0.7874
Dy 0.7874 0.7874 0.2126
Al 0.0000 0.0000 0.5000
Al 0.0000 0.5000 0.0000
Al 0.0000 0.5000 0.5000
Al 0.5000 0.0000 0.0000
Al 0.5000 0.0000 0.5000
Al 0.5000 0.5000 0.0000
Al 0.5000 0.5000 0.5000
Cu 0.1352 0.6216 0.6216
Cu 0.1732 0.1732 0.1732
Cu 0.1732 0.1732 0.4804
Cu 0.1732 0.4804 0.1732
Cu 0.3784 0.3784 0.3784
Cu 0.3784 0.3784 0.8648
Cu 0.3784 0.8648 0.3784
Cu 0.4804 0.1732 0.1732
Cu 0.5196 0.8268 0.8268
Cu 0.6216 0.1352 0.6216
Cu 0.6216 0.6216 0.1352
Cu 0.6216 0.6216 0.6216
Cu 0.8268 0.5196 0.8268
Cu 0.8268 0.8268 0.5196
Cu 0.8268 0.8268 0.8268
Cu 0.8648 0.3784 0.3784

No. 5
Computed, not measured: a relaxed structure of GdTm2Cd at the PBE level of DFT.

Computed properties:
The calculation puts the total magnetization at 0.001 μB/atom. The value obtained for the formation enthalpy at 0 K is -0.425 eV per formula unit. Its distance to the lowest polymorph of the same formula is 0 meV/atom. Its calculated total energy is -29.85 eV per cell. The theoretical density is 9.1 g cm⁻³. For the calculated volume, the calculation gives 222 Å³/cell.

abc: 6.8880 6.8880 5.4222
angles: 90.00 90.00 120.18
Element x y z (fractional)
Gd 0.1731 0.8269 0.7500
Gd 0.8269 0.1731 0.2500
Tm 0.1717 0.3400 0.7500
Tm 0.3400 0.1717 0.2500
Tm 0.6600 0.8283 0.7500
Tm 0.8283 0.6600 0.2500
Cd 0.3354 0.6646 0.2500
Cd 0.6646 0.3354 0.7500

No. 6
Computed, not measured: a relaxed structure of LuCuAgSb at the PBE level of DFT.

Computed properties:
The calculation puts the total magnetization at 0.000 μB/atom. Its distance to the lowest polymorph of the same formula is 7 meV/atom. Its calculated total energy is -15.94 eV per cell. The theoretical density is 9.5 g cm⁻³. For the calculated volume, the calculation gives 82 Å³/cell.

abc: 4.8745 4.8745 4.8745
angles: 60.00 60.00 60.00
Element x y z (fractional)
Lu 0.0000 0.0000 0.0000
Cu 0.5000 0.5000 0.5000
Ag 0.7500 0.7500 0.7500
Sb 0.2500 0.2500 0.2500

No. 7
Computed, not measured: a relaxed structure of TmAl3 at the PBE level of DFT.

Computed properties:
The calculation puts the total magnetization at 0.000 μB/atom. Its calculated total energy is -17.35 eV per cell. The theoretical density is 5.5 g cm⁻³. For the calculated volume, the calculation gives 75 Å³/cell.

abc: 4.2204 4.2204 4.2204
angles: 90.00 90.00 90.00
Element x y z (fractional)
Tm 0.0000 0.0000 0.0000
Al 0.0000 0.5000 0.5000
Al 0.5000 0.0000 0.5000
Al 0.5000 0.5000 0.0000

No. 8
Computed, not measured: a relaxed structure of AlRePd2 at the PBE level of DFT.

Computed properties:
The calculation puts the total magnetization at 0.231 μB/atom. Its calculated total energy is -26.59 eV per cell. The theoretical density is 12.0 g cm⁻³. For the calculated volume, the calculation gives 59 Å³/cell.

abc: 4.3722 4.3722 4.3722
angles: 60.00 60.00 60.00
Element x y z (fractional)
Al 0.0000 0.0000 0.0000
Re 0.2500 0.2500 0.2500
Pd 0.5000 0.5000 0.5000
Pd 0.7500 0.7500 0.7500

No. 9
Computed, not measured: a relaxed structure of SrLiNiBi at the PBE level of DFT.

Computed properties:
The calculation puts the total magnetization at 0.130 μB/atom. Its distance to the lowest polymorph of the same formula is 238 meV/atom. Its calculated total energy is -13.40 eV per cell. The theoretical density is 6.2 g cm⁻³. For the calculated volume, the calculation gives 97 Å³/cell.

abc: 5.1556 5.1556 5.1556
angles: 60.00 60.00 60.00
Element x y z (fractional)
Sr 0.0000 0.0000 0.0000
Li 0.5000 0.5000 0.5000
Ni 0.7500 0.7500 0.7500
Bi 0.2500 0.2500 0.2500